GGA-PBE AcPmHgPb, relaxed; calculated density = 10.24 g/cm3; magnetization = 0.000 μB per cell; final energy = -14.77 eV/cell; energy above the lowest structure with this stoichiometry = 0 meV/atom; SG = P4mm (99)
1.0
4.008 0.000 0.000
0.000 4.008 0.000
0.000 0.000 7.868
Ac Pm Hg Pb
1 1 1 1
Direct
0.000 0.000 0.852
0.000 0.000 0.365
0.500 0.500 0.583
0.500 0.500 0.128

---

GGA-PBE AcPmHgPb, relaxed; calculated density = 10.16 g/cm3; magnetization = 0.000 μB per cell; final energy = -14.74 eV/cell; energy above the lowest structure with this stoichiometry = 7 meV/atom; SG = F-43m (216)
1.0
-4.115 -1.332 3.633
-4.922 -2.001 -1.918
-1.372 -5.413 0.852
Pb Ac Hg Pm
1 1 1 1
Direct
0.250 0.250 0.250
0.500 0.500 0.500
0.750 0.750 0.750
0.000 0.000 0.000

---

GGA-PBE AcPr2Hg2Pb2, relaxed; calculated density = 9.82 g/cm3; magnetization = 0.001 μB per cell; final energy = -23.84 eV/cell; SG = R-3m (166)
1.0
5.209 0.000 0.000
2.604 4.511 0.000
2.604 1.504 9.534
Ac Pr Hg Pb
1 2 2 2
Direct
0.000 0.000 0.000
0.133 0.133 0.602
0.867 0.867 0.398
0.566 0.566 0.303
0.434 0.434 0.697
0.733 0.733 0.802
0.267 0.267 0.198